Fe2Sb3PbO8 after structural relaxation. Source: Alexandria, functional PBE+U.

```
data_Fe2Sb3PbO8
_cell_length_a 6.152
_cell_length_b 12.223
_cell_length_c 12.250
_cell_angle_alpha 90.00
_cell_angle_beta 90.00
_cell_angle_gamma 90.00
_space_group_name_H-M_alt 'A m a 2'
_space_group_IT_number 40
loop_
_space_group_symop_operation_xyz
'x,y,z'
'-x,-y,z'
'-x+1/2,y,z'
'x+1/2,-y,z'
'x,y+1/2,z+1/2'
'-x,-y+1/2,z+1/2'
'-x+1/2,y+1/2,z+1/2'
'x+1/2,-y+1/2,z+1/2'
loop_
_atom_site_label
_atom_site_type_symbol
_atom_site_fract_x
_atom_site_fract_y
_atom_site_fract_z
Fe1 Fe 0.000 0.000 0.000
Fe2 Fe 0.000 0.000 0.496
Sb1 Sb 0.250 0.078 0.247
Sb2 Sb 0.250 0.244 0.921
Sb3 Sb 0.250 0.422 0.250
Pb1 Pb 0.250 0.249 0.602
O1 O 0.000 0.000 0.326
O2 O 0.000 0.000 0.669
O3 O 0.013 0.172 0.002
O4 O 0.250 0.023 0.872
O5 O 0.250 0.102 0.481
O6 O 0.250 0.384 0.013
O7 O 0.250 0.475 0.626
```

- Final energy: -0.2258 Ha/atom
- Magnetic moment: 36.00 Bohr magnetons per cell
- Crystal system: orthorhombic

FeSb3Pb4O13 after structural relaxation. Source: Alexandria, functional PBE+U.

```
data_FeSb3Pb4O13
_cell_length_a 7.5492
_cell_length_b 7.5492
_cell_length_c 18.2928
_cell_angle_alpha 90.00
_cell_angle_beta 90.00
_cell_angle_gamma 120.00
_space_group_name_H-M_alt 'R 3 m'
_space_group_IT_number 160
_space_group_name_Hall 'R 3 -2"'
loop_
_atom_site_label
_atom_site_type_symbol
_atom_site_fract_x
_atom_site_fract_y
_atom_site_fract_z
Fe1 Fe 0.0000 0.0000 0.0000
Sb1 Sb 0.1671 0.3341 0.8324
Pb1 Pb 0.0000 0.0000 0.5015
Pb2 Pb 0.1681 0.3363 0.3320
O1 O 0.0000 0.0000 0.3758
O2 O 0.0647 0.5324 0.6052
O3 O 0.0705 0.5353 0.8548
O4 O 0.2007 0.4015 0.4759
O5 O 0.2011 0.4022 0.7270
```

- Final energy: -0.2213 Ha/atom
- Magnetic moment: 15.18 Bohr magnetons per cell
- Crystal system: trigonal

FeSbPb2O6 after structural relaxation. Source: Alexandria, functional PBE+U.

```
data_FeSbPb2O6
_cell_length_a 5.732
_cell_length_b 5.705
_cell_length_c 9.879
_cell_angle_alpha 90.00
_cell_angle_beta 125.45
_cell_angle_gamma 90.00
_space_group_name_H-M_alt 'P 1 21/c 1'
_space_group_IT_number 14
loop_
_space_group_symop_operation_xyz
'x,y,z'
'-x,-y,-z'
'-x,y+1/2,-z+1/2'
'x,-y+1/2,z+1/2'
loop_
_atom_site_label
_atom_site_type_symbol
_atom_site_fract_x
_atom_site_fract_y
_atom_site_fract_z
Fe1 Fe 0.000 0.000 0.000
Sb1 Sb 0.500 0.000 0.500
Pb1 Pb 0.256 0.010 0.750
O1 O 0.201 0.003 0.252
O2 O 0.265 0.732 0.028
O3 O 0.298 0.235 0.028
```

- Final energy: -0.2206 Ha/atom
- Magnetic moment: 10.03 Bohr magnetons per cell
- Crystal system: monoclinic

ScFe2PbO after structural relaxation. Source: Alexandria, functional PBE+U.

```
data_ScFe2PbO
_cell_length_a 5.051
_cell_length_b 5.051
_cell_length_c 5.675
_cell_angle_alpha 90.00
_cell_angle_beta 90.00
_cell_angle_gamma 90.00
_space_group_name_H-M_alt 'P 4/m m m'
_space_group_IT_number 123
_space_group_name_Hall '-P 4 2'
loop_
_atom_site_label
_atom_site_type_symbol
_atom_site_fract_x
_atom_site_fract_y
_atom_site_fract_z
Sc1 Sc 0.000 0.000 0.000
Fe1 Fe 0.000 0.500 0.500
Pb1 Pb 0.000 0.000 0.500
O1 O 0.500 0.500 0.000
```

- Final energy: -0.1451 Ha/atom
- Magnetic moment: 6.99 Bohr magnetons per cell
- Crystal system: tetragonal

Sc6FePb2O after structural relaxation. Source: Alexandria, functional PBE+U.

```
data_Sc6FePb2O
_cell_length_a 9.428
_cell_length_b 9.428
_cell_length_c 9.428
_cell_angle_alpha 90.00
_cell_angle_beta 90.00
_cell_angle_gamma 90.00
_space_group_name_H-M_alt 'F m -3 m'
_space_group_IT_number 225
_space_group_name_Hall '-F 4 2 3'
loop_
_atom_site_label
_atom_site_type_symbol
_atom_site_fract_x
_atom_site_fract_y
_atom_site_fract_z
Sc1 Sc 0.000 0.000 0.241
Fe1 Fe 0.000 0.000 0.500
Pb1 Pb 0.250 0.250 0.250
O1 O 0.000 0.000 0.000
```

- Final energy: -0.2253 Ha/atom
- Magnetic moment: 5.92 Bohr magnetons per cell
- Crystal system: cubic

FePbSe2O8 after structural relaxation. Source: Alexandria, functional PBE+U.

```
data_FePbSe2O8
_cell_length_a 5.0746
_cell_length_b 5.0746
_cell_length_c 22.3099
_cell_angle_alpha 90.00
_cell_angle_beta 90.00
_cell_angle_gamma 120.00
_space_group_name_H-M_alt 'R -3'
_space_group_IT_number 148
_space_group_name_Hall '-R 3'
loop_
_atom_site_label
_atom_site_type_symbol
_atom_site_fract_x
_atom_site_fract_y
_atom_site_fract_z
Fe1 Fe 0.0000 0.0000 0.0000
Pb1 Pb 0.0000 0.0000 0.5000
Se1 Se 0.0000 0.0000 0.2554
O1 O 0.0000 0.0000 0.1798
O2 O 0.0086 0.6581 0.3901
```

- Final energy: -0.2015 Ha/atom
- Magnetic moment: 12.00 Bohr magnetons per cell
- Crystal system: trigonal

FeSiPbO4 after structural relaxation. Source: Alexandria, functional PBE+U.

```
data_FeSiPbO4
_cell_length_a 5.446
_cell_length_b 5.669
_cell_length_c 6.632
_cell_angle_alpha 90.00
_cell_angle_beta 105.05
_cell_angle_gamma 90.00
_space_group_name_H-M_alt 'P 1 21/m 1'
_space_group_IT_number 11
loop_
_space_group_symop_operation_xyz
'x,y,z'
'-x,-y,-z'
'-x,y+1/2,-z'
'x,-y+1/2,z'
loop_
_atom_site_label
_atom_site_type_symbol
_atom_site_fract_x
_atom_site_fract_y
_atom_site_fract_z
Fe1 Fe 0.196 0.250 0.045
Si1 Si 0.268 0.750 0.846
Pb1 Pb 0.282 0.250 0.588
O1 O 0.070 0.522 0.812
O2 O 0.452 0.750 0.683
O3 O 0.462 0.750 0.080
```

- Final energy: -0.2495 Ha/atom
- Magnetic moment: 8.00 Bohr magnetons per cell
- Crystal system: monoclinic

FeSnPb2O6 after structural relaxation. Source: Alexandria, functional PBE+U.

```
data_FeSnPb2O6
_cell_length_a 5.680
_cell_length_b 5.767
_cell_length_c 9.870
_cell_angle_alpha 90.00
_cell_angle_beta 125.02
_cell_angle_gamma 90.00
_space_group_name_H-M_alt 'P 1 21/c 1'
_space_group_IT_number 14
loop_
_space_group_symop_operation_xyz
'x,y,z'
'-x,-y,-z'
'-x,y+1/2,-z+1/2'
'x,-y+1/2,z+1/2'
loop_
_atom_site_label
_atom_site_type_symbol
_atom_site_fract_x
_atom_site_fract_y
_atom_site_fract_z
Fe1 Fe 0.000 0.000 0.000
Sn1 Sn 0.500 0.000 0.500
Pb1 Pb 0.243 0.038 0.750
O1 O 0.160 0.210 0.458
O2 O 0.250 0.704 0.458
O3 O 0.331 0.024 0.247
```

- Final energy: -0.2179 Ha/atom
- Magnetic moment: 9.19 Bohr magnetons per cell
- Crystal system: monoclinic

Sr2FePbO4 after structural relaxation. Source: Alexandria, functional PBE+U.

```
data_Sr2FePbO4
_cell_length_a 5.991
_cell_length_b 3.692
_cell_length_c 6.169
_cell_angle_alpha 90.00
_cell_angle_beta 107.94
_cell_angle_gamma 90.00
_space_group_name_H-M_alt 'P 1 2/m 1'
_space_group_IT_number 10
loop_
_space_group_symop_operation_xyz
'x,y,z'
'-x,-y,-z'
'-x,y,-z'
'x,-y,z'
loop_
_atom_site_label
_atom_site_type_symbol
_atom_site_fract_x
_atom_site_fract_y
_atom_site_fract_z
Sr1 Sr 0.000 0.000 0.000
Sr2 Sr 0.000 0.500 0.500
Fe1 Fe 0.500 0.000 0.500
Pb1 Pb 0.500 0.500 0.000
O1 O 0.240 0.500 0.247
O2 O 0.278 0.000 0.708
```

- Final energy: -0.2172 Ha/atom
- Magnetic moment: 4.00 Bohr magnetons per cell
- Crystal system: monoclinic

SrFePb2O4 after structural relaxation. Source: Alexandria, functional PBE+U.

```
data_SrFePb2O4
_cell_length_a 3.496
_cell_length_b 12.270
_cell_length_c 12.759
_cell_angle_alpha 90.00
_cell_angle_beta 90.00
_cell_angle_gamma 90.00
_space_group_name_H-M_alt 'C m c m'
_space_group_IT_number 63
_space_group_name_Hall '-C 2c 2'
loop_
_atom_site_label
_atom_site_type_symbol
_atom_site_fract_x
_atom_site_fract_y
_atom_site_fract_z
Sr1 Sr 0.000 0.094 0.250
Fe1 Fe 0.000 0.175 0.750
Pb1 Pb 0.000 0.366 0.031
O1 O 0.000 0.000 0.000
O2 O 0.000 0.304 0.641
O3 O 0.000 0.413 0.250
```

- Final energy: -0.2112 Ha/atom
- Magnetic moment: 15.96 Bohr magnetons per cell
- Crystal system: orthorhombic

FeTcPbO6 after structural relaxation. Source: Alexandria, functional PBE+U.

```
data_FeTcPbO6
_cell_length_a 4.856
_cell_length_b 4.856
_cell_length_c 9.694
_cell_angle_alpha 90.00
_cell_angle_beta 90.00
_cell_angle_gamma 90.00
_space_group_name_H-M_alt 'P 42 n m'
_space_group_IT_number 102
loop_
_space_group_symop_operation_xyz
'x,y,z'
'-y+1/2,x+1/2,z+1/2'
'-x,-y,z'
'y+1/2,-x+1/2,z+1/2'
'-x+1/2,y+1/2,z+1/2'
'y,x,z'
'x+1/2,-y+1/2,z+1/2'
'-y,-x,z'
loop_
_atom_site_label
_atom_site_type_symbol
_atom_site_fract_x
_atom_site_fract_y
_atom_site_fract_z
Fe1 Fe 0.000 0.000 0.000
Tc1 Tc 0.000 0.000 0.333
Pb1 Pb 0.000 0.000 0.667
O1 O 0.170 0.170 0.171
O2 O 0.204 0.204 0.470
O3 O 0.224 0.224 0.851
```

- Final energy: -0.2462 Ha/atom
- Magnetic moment: 9.69 Bohr magnetons per cell
- Crystal system: tetragonal

FeTcPb2O6 after structural relaxation. Source: Alexandria, functional PBE+U.

```
data_FeTcPb2O6
_cell_length_a 8.007
_cell_length_b 8.007
_cell_length_c 8.007
_cell_angle_alpha 90.00
_cell_angle_beta 90.00
_cell_angle_gamma 90.00
_space_group_name_H-M_alt 'F m -3 m'
_space_group_IT_number 225
_space_group_name_Hall '-F 4 2 3'
loop_
_atom_site_label
_atom_site_type_symbol
_atom_site_fract_x
_atom_site_fract_y
_atom_site_fract_z
Fe1 Fe 0.000 0.000 0.000
Tc1 Tc 0.000 0.000 0.500
Pb1 Pb 0.250 0.250 0.250
O1 O 0.000 0.000 0.253
```

- Final energy: -0.2413 Ha/atom
- Magnetic moment: 26.64 Bohr magnetons per cell
- Crystal system: cubic

FeTePbO6 after structural relaxation. Source: Alexandria, functional PBE+U.

```
data_FeTePbO6
_cell_length_a 5.1751
_cell_length_b 5.1751
_cell_length_c 5.4482
_cell_angle_alpha 90.00
_cell_angle_beta 90.00
_cell_angle_gamma 120.00
_space_group_name_H-M_alt 'P 3 1 2'
_space_group_IT_number 149
loop_
_space_group_symop_operation_xyz
'x,y,z'
'-y,x-y,z'
'-x+y,-x,z'
'-y,-x,-z'
'-x+y,y,-z'
'x,x-y,-z'
loop_
_atom_site_label
_atom_site_type_symbol
_atom_site_fract_x
_atom_site_fract_y
_atom_site_fract_z
Fe1 Fe 0.0000 0.0000 0.0000
Te1 Te 0.3333 0.6667 0.0000
Pb1 Pb 0.6667 0.3333 0.5000
O1 O 0.0491 0.3291 0.2011
```

- Final energy: -0.2111 Ha/atom
- Magnetic moment: 2.00 Bohr magnetons per cell
- Crystal system: trigonal

TiFePb2O6 after structural relaxation. Source: Alexandria, functional PBE+U.

```
data_TiFePb2O6
_cell_length_a 5.6057
_cell_length_b 5.6057
_cell_length_c 14.0220
_cell_angle_alpha 90.00
_cell_angle_beta 90.00
_cell_angle_gamma 120.00
_space_group_name_H-M_alt 'R 3'
_space_group_IT_number 146
_space_group_name_Hall 'R 3'
loop_
_atom_site_label
_atom_site_type_symbol
_atom_site_fract_x
_atom_site_fract_y
_atom_site_fract_z
Ti1 Ti 0.0000 0.0000 0.0000
Fe1 Fe 0.0000 0.0000 0.5033
Pb1 Pb 0.0000 0.0000 0.2400
Pb2 Pb 0.0000 0.0000 0.7367
O1 O 0.0022 0.4539 0.2667
O2 O 0.0114 0.5830 0.7648
```

- Final energy: -0.2484 Ha/atom
- Magnetic moment: 12.95 Bohr magnetons per cell
- Crystal system: trigonal

TiFe2PbO6 after structural relaxation. Source: Alexandria, functional PBE+U.

```
data_TiFe2PbO6
_cell_length_a 5.317
_cell_length_b 5.318
_cell_length_c 5.787
_cell_angle_alpha 90.89
_cell_angle_beta 116.62
_cell_angle_gamma 119.68
_space_group_name_H-M_alt 'P 1'
_space_group_IT_number 1
loop_
_space_group_symop_operation_xyz
'x,y,z'
loop_
_atom_site_label
_atom_site_type_symbol
_atom_site_fract_x
_atom_site_fract_y
_atom_site_fract_z
Ti1 Ti 0.000 0.000 0.000
Fe1 Fe 0.578 0.786 0.368
Fe2 Fe 0.599 0.301 0.898
Pb1 Pb 0.034 0.516 0.547
O1 O 0.079 0.717 0.156
O2 O 0.114 0.957 0.704
O3 O 0.441 0.373 0.159
O4 O 0.546 0.591 0.707
O5 O 0.744 0.153 0.697
O6 O 0.791 0.084 0.159
```

- Final energy: -0.2574 Ha/atom
- Magnetic moment: 8.03 Bohr magnetons per cell
- Crystal system: triclinic

TiFe2Pb3O9 after structural relaxation. Source: Alexandria, functional PBE+U.

```
data_TiFe2Pb3O9
_cell_length_a 5.5900
_cell_length_b 5.5900
_cell_length_c 6.8596
_cell_angle_alpha 90.00
_cell_angle_beta 90.00
_cell_angle_gamma 120.00
_space_group_name_H-M_alt 'P -3 m 1'
_space_group_IT_number 164
_space_group_name_Hall '-P 3 2"'
loop_
_atom_site_label
_atom_site_type_symbol
_atom_site_fract_x
_atom_site_fract_y
_atom_site_fract_z
Ti1 Ti 0.0000 0.0000 0.0000
Fe1 Fe 0.3333 0.6667 0.6679
Pb1 Pb 0.0000 0.0000 0.5000
Pb2 Pb 0.3333 0.6667 0.1706
O1 O 0.0000 0.5000 0.5000
O2 O 0.1662 0.3324 0.8337
```

- Final energy: -0.2369 Ha/atom
- Magnetic moment: 8.69 Bohr magnetons per cell
- Crystal system: trigonal

TiFePb2O5 after structural relaxation. Source: Alexandria, functional PBE+U.

```
data_TiFePb2O5
_cell_length_a 3.174
_cell_length_b 12.798
_cell_length_c 13.115
_cell_angle_alpha 90.00
_cell_angle_beta 90.00
_cell_angle_gamma 90.00
_space_group_name_H-M_alt 'C m c 21'
_space_group_IT_number 36
loop_
_space_group_symop_operation_xyz
'x,y,z'
'-x,-y,z+1/2'
'-x,y,z'
'x,-y,z+1/2'
'x+1/2,y+1/2,z'
'-x+1/2,-y+1/2,z+1/2'
'-x+1/2,y+1/2,z'
'x+1/2,-y+1/2,z+1/2'
loop_
_atom_site_label
_atom_site_type_symbol
_atom_site_fract_x
_atom_site_fract_y
_atom_site_fract_z
Ti1 Ti 0.000 0.193 0.000
Fe1 Fe 0.000 0.493 0.918
Pb1 Pb 0.000 0.056 0.670
Pb2 Pb 0.000 0.201 0.290
O1 O 0.000 0.039 0.025
O2 O 0.000 0.277 0.579
O3 O 0.000 0.330 0.923
O4 O 0.000 0.350 0.397
O5 O 0.000 0.463 0.759
```

- Final energy: -0.2490 Ha/atom
- Magnetic moment: 16.00 Bohr magnetons per cell
- Crystal system: orthorhombic

V2FePbO8 after structural relaxation. Source: Alexandria, functional PBE+U.

```
data_V2FePbO8
_cell_length_a 5.2448
_cell_length_b 5.2448
_cell_length_c 6.9801
_cell_angle_alpha 90.00
_cell_angle_beta 90.00
_cell_angle_gamma 120.00
_space_group_name_H-M_alt 'P -3'
_space_group_IT_number 147
loop_
_space_group_symop_operation_xyz
'x,y,z'
'-x,-y,-z'
'-y,x-y,z'
'y,-x+y,-z'
'-x+y,-x,z'
'x-y,x,-z'
loop_
_atom_site_label
_atom_site_type_symbol
_atom_site_fract_x
_atom_site_fract_y
_atom_site_fract_z
V1 V 0.3333 0.6667 0.2288
Fe1 Fe 0.0000 0.0000 0.0000
Pb1 Pb 0.0000 0.0000 0.5000
O1 O 0.0519 0.3099 0.1644
O2 O 0.3333 0.6667 0.4698
```

- Final energy: -0.2484 Ha/atom
- Magnetic moment: 2.05 Bohr magnetons per cell
- Crystal system: trigonal

Calculated calculated volume, 16.45 14.33 13.16 28.95 20.95 13.82 14.12 13.24 16.23 17.10 12.70 12.84 14.03 12.72 12.10 12.38 14.80 13.86 Å³/atom (same order as the records).